No. 1
DFT (PBE) results for crystalline Pu5Pd4 at its relaxed geometry.

Output
energy relative to the elements	-0.29	eV per atom
symmetry	C2/m

Structure (POSCAR):
```
Pu5Pd4
1.0
-2.1291 -2.6528 -3.0998
-2.4780 -4.2214 1.8986
-7.2787 3.8459 -1.7083
Pu Pd
5 4
direct
0.0848 0.2352 0.5952
0.9152 0.7648 0.4048
0.7907 0.4792 0.9395
0.2093 0.5208 0.0605
0.0000 0.0000 0.0000
0.6164 0.0014 0.7658
0.3836 0.9986 0.2342
0.3597 0.6054 0.6752
0.6403 0.3946 0.3248
```

***

No. 2
DFT (PBE) results for crystalline Tb7Ru2Pt2 at its relaxed geometry.

Output
energy relative to the elements	-0.66	eV per atom
energy relative to the lowest polymorph listed for this composition	0.0	kJ/mol of atoms
symmetry	Imm2

Structure (POSCAR):
```
Tb7Ru2Pt2
1.0
-3.7345 0.4923 -1.5846
-5.2388 0.1884 7.1359
-2.5136 7.9005 3.1092
Tb Ru Pt
7 2 2
direct
0.8145 0.0788 0.2921
0.8639 0.4092 0.8630
0.5000 0.0077 0.9923
0.6190 0.4865 0.2755
0.3810 0.7245 0.5135
0.1855 0.7079 0.9212
0.1361 0.1370 0.5908
0.7304 0.8621 0.6772
0.2696 0.3228 0.1379
0.0000 0.7751 0.2249
0.5000 0.3423 0.6577
```

***

No. 3
DFT (PBE) results for crystalline KBe2 at its relaxed geometry.

Output
energy relative to the elements	1.03	eV per atom
energy relative to the lowest polymorph listed for this composition	58.2	kJ/mol of atoms
symmetry	Cmcm

Structure (POSCAR):
```
KBe2
1.0
5.2237 -1.4431 -6.0948
-6.2500 3.0203 4.2815
3.5934 4.6212 1.9856
K Be
2 4
direct
0.1197 0.8803 0.7500
0.8803 0.1197 0.2500
0.8191 0.1809 0.7500
0.4193 0.5807 0.7500
0.1809 0.8191 0.2500
0.5807 0.4193 0.2500
```

***

No. 4
DFT (PBE) results for crystalline SrCoIr2 at its relaxed geometry.

Output
energy relative to the elements	0.37	eV per atom
energy relative to the lowest polymorph listed for this composition	42.9	kJ/mol of atoms
symmetry	I-42d

Structure (POSCAR):
```
SrCoIr2
1.0
4.8146 0.0000 0.0000
0.0000 4.8146 0.0000
2.4073 2.4073 8.1134
Sr Ir Co
2 4 2
direct
0.0000 0.0000 0.0000
0.7500 0.2500 0.5000
0.3064 0.1250 0.2500
0.4436 0.6250 0.2500
0.3750 0.6936 0.7500
0.8750 0.5564 0.7500
0.5000 0.5000 0.0000
0.2500 0.7500 0.5000
```

***

No. 5
DFT (PBE) results for crystalline Li7CdGa4 at its relaxed geometry.

Output
energy relative to the elements	-0.16	eV per atom
symmetry	C2/m

Structure (POSCAR):
```
Li7CdGa4
1.0
-1.6490 1.8709 4.1580
-7.4597 0.8931 -0.5334
-3.4371 -4.6987 3.5780
Li Cd Ga
7 1 4
direct
0.7928 0.8795 0.5350
0.2072 0.1205 0.4650
0.0809 0.5692 0.2689
0.9191 0.4308 0.7311
0.2501 0.7181 0.7817
0.5000 0.0000 0.0000
0.7499 0.2819 0.2183
0.0000 0.0000 0.0000
0.5451 0.3022 0.6077
0.4549 0.6978 0.3923
0.6781 0.6487 0.9951
0.3219 0.3513 0.0049
```

***

No. 6
DFT (PBE) results for crystalline CaPm2Pt9 at its relaxed geometry.

Output
energy relative to the elements	-0.86	eV per atom
symmetry	R-3m

Structure (POSCAR):
```
CaPm2Pt9
1.0
5.2372 0.0000 1.5587
2.3866 4.6618 1.5587
0.0472 0.0289 9.4192
Ca Pm Pt
1 2 9
direct
0.0000 0.0000 0.0000
0.8614 0.8614 0.4157
0.1386 0.1386 0.5843
0.6674 0.6674 0.9977
0.3326 0.3326 0.0023
0.5000 0.5000 0.5000
0.4135 0.4135 0.2535
0.9196 0.4135 0.2535
0.4135 0.9196 0.2535
0.5865 0.5865 0.7465
0.5865 0.0804 0.7465
0.0804 0.5865 0.7465
```

***

No. 7
DFT (PBE) results for crystalline MgAs5 at its relaxed geometry.

Output
energy relative to the elements	0.04	eV per atom
energy relative to the lowest polymorph listed for this composition	0.0	kJ/mol of atoms
symmetry	Cm

Structure (POSCAR):
```
MgAs5
1.0
1.7928 5.8808 0.0020
-1.7928 5.8808 0.0020
0.0000 5.8461 6.4926
Mg As
1 5
direct
0.7493 0.7493 0.9535
0.9788 0.9788 0.9654
0.4339 0.4339 0.2729
0.6386 0.6386 0.6959
0.0662 0.0662 0.3222
0.4665 0.4665 0.6234
```

***

No. 8
DFT (PBE) results for crystalline KPb3 at its relaxed geometry.

Output
energy relative to the elements	-0.08	eV per atom
symmetry	Pmm2

Structure (POSCAR):
```
KPb3
1.0
3.6368 0.0000 0.0000
0.0000 5.7080 0.0000
0.0000 0.0000 6.7931
Pb K
3 1
direct
0.5000 0.0000 0.5129
0.5000 0.5000 0.7680
0.0000 0.5000 0.3739
0.0000 0.0000 0.0119
```

***

No. 9
DFT (PBE) results for crystalline Li4MgRh3O8 at its relaxed geometry.

Output
symmetry	R-3m
total DFT energy (no corrections)	-5.92	eV per atom

Structure (POSCAR):
```
Li4MgRh3O8
1.0
-2.2292 -3.8545 4.1439
4.9928 -3.2363 -0.3244
0.2363 5.9583 1.2052
Li Mg Rh O
4 1 3 8
direct
0.5000 0.0000 0.0000
0.5000 0.0000 0.5000
0.0000 0.0000 0.0000
0.0000 0.0000 0.5000
0.0000 0.5000 0.0000
0.5000 0.5000 0.0000
0.5000 0.5000 0.5000
0.0000 0.5000 0.5000
0.2461 0.7308 0.9844
0.2462 0.7308 0.4924
0.2570 0.2707 0.5140
0.7383 0.7308 0.9844
0.2617 0.2692 0.0156
0.7430 0.7293 0.4860
0.7538 0.2692 0.5076
0.7539 0.2692 0.0156
```

***

No. 10
DFT (PBE) results for crystalline LiMgGe3 at its relaxed geometry.

Output
energy relative to the elements	0.32	eV per atom
energy relative to the lowest polymorph listed for this composition	0.0	kJ/mol of atoms
symmetry	Pm-3m

Structure (POSCAR):
```
LiMgGe3
1.0
-4.0943 -2.1781 0.1684
0.6092 -1.4819 -4.3553
2.0979 -3.8204 1.5934
Ge Mg Li
3 1 1
direct
0.0000 0.5000 0.0000
0.0000 0.0000 0.5000
0.5000 0.0000 0.0000
0.5000 0.5000 0.5000
0.0000 0.0000 0.0000
```

***

No. 11
DFT (PBE) results for crystalline MgGaReMo2 at its relaxed geometry.

Output
energy relative to the elements	2.15	eV per atom
symmetry	P4/mmm

Structure (POSCAR):
```
MgGaReMo2
1.0
4.5687 0.0000 0.0000
0.0000 4.5330 0.0000
0.0000 0.0000 4.5687
Re Mo Mg Ga
1 2 1 1
direct
0.0000 0.5000 0.0000
0.0000 0.0000 0.5000
0.5000 0.0000 0.0000
0.0000 0.0000 0.0000
0.5000 0.5000 0.5000
```

***

No. 12
DFT (PBE) results for crystalline Dy2ZnCu16 at its relaxed geometry.

Output
energy relative to the elements	-0.14	eV per atom
symmetry	R3m

Structure (POSCAR):
```
Dy2ZnCu16
1.0
-5.5127 -3.2564 0.9641
-1.0573 -1.6661 -6.1668
2.5900 -5.9268 0.2964
Dy Zn Cu
2 1 16
direct
0.6523 0.6523 0.6523
0.3404 0.3404 0.3404
0.9016 0.9016 0.9016
0.7027 0.0007 0.2989
0.0007 0.2989 0.7027
0.2989 0.7027 0.0007
0.0007 0.7027 0.2989
0.7027 0.2989 0.0007
0.2989 0.0007 0.7027
0.3462 0.8463 0.3462
0.8463 0.3462 0.3462
0.3462 0.3462 0.8463
0.6526 0.1564 0.6526
0.1564 0.6526 0.6526
0.6526 0.6526 0.1564
0.0007 0.4998 0.0007
0.4998 0.0007 0.0007
0.0007 0.0007 0.4998
0.0995 0.0995 0.0995
```